PrSmCd: optimized geometry, PBE.

abc: 3.651 5.362 5.362
angles: 120.00 90.00 90.00
Positions (direct):
Sm  0.949  0.000  0.000
Pr  0.370  0.333  0.667
Cd  0.681  0.667  0.333

Summary:
The calculation puts the calculated volume at 30.30 Å³/atom. Its total energy is -3.56 eV/atom. Its crystal system is trigonal.